# 1
PBE KScBe3, relaxed; DOS at the Fermi energy = 5.837 states/eV/f.u.; energy of formation from the pure elements = 1.40 eV/atom; ΔE to the lowest computed polymorph = 0.0 kJ per mole of atoms; space group = No. 221
1.0
5.1585 0.0000 0.0000
0.0000 5.1585 0.0000
0.0000 0.0000 5.1585
Sc Be K
1 3 1
direct
0.0000 0.0000 0.0000
0.5000 0.0000 0.0000
0.0000 0.5000 0.0000
0.0000 0.0000 0.5000
0.5000 0.5000 0.5000

# 2
PBE TbZn10Au2, relaxed; DOS at the Fermi energy = 4.346 states/eV/f.u.; energy of formation from the pure elements = -0.20 eV/atom; space group = No. 69
1.0
5.4376 0.0000 0.0000
2.7188 6.2942 0.0000
2.7188 0.0000 6.3464
Zn Au Tb
10 2 1
direct
0.3548 0.6495 0.6409
0.5000 0.0000 0.5000
0.7151 0.7908 0.7790
0.0000 0.0000 0.5000
0.6452 0.3505 0.3591
0.0043 0.3505 0.6409
0.9957 0.6495 0.3591
0.2849 0.2092 0.2210
0.5059 0.2092 0.7790
0.4941 0.7908 0.2210
0.0000 0.5000 0.0000
0.5000 0.5000 0.0000
0.0000 0.0000 0.0000

# 3
PBE RuWS2, relaxed; energy relative to the elements, uncorrected = 0.07 eV/atom; DOS at the Fermi energy = 3.900 states/eV/f.u.; ΔE to the lowest computed polymorph = 17.3 kJ per mole of atoms; space group = No. 122
1.0
-3.9579 -1.5518 3.2266
3.3222 -3.3850 2.4471
0.9689 1.2167 6.1875
S W Ru
4 2 2
direct
0.3750 0.3801 0.7500
0.6199 0.1250 0.2500
0.8750 0.8699 0.7500
0.1301 0.6250 0.2500
0.7500 0.2500 0.5000
0.0000 0.0000 0.0000
0.5000 0.5000 0.0000
0.2500 0.7500 0.5000

# 4
PBE ScAsS2N, relaxed; energy relative to the elements, uncorrected = 0.09 eV/atom; DOS at the Fermi energy = 2.134 states/eV/f.u.; ΔE to the lowest computed polymorph = 0.0 kJ per mole of atoms; space group = No. 123
1.0
-0.6132 4.6737 -0.8312
-4.7049 -0.4868 0.7335
0.4872 0.7026 3.5913
S N Sc As
2 1 1 1
direct
0.5000 0.0000 0.0000
0.0000 0.5000 0.0000
0.0000 0.0000 0.5000
0.5000 0.5000 0.5000
0.0000 0.0000 0.0000

Question: Look up the DOS at the Fermi energy of the third one.
Answer: 3.900 states/eV/f.u.